1) ! Na2Zn2Ag PBE optimized geometry; values from VASP
! total magnetic moment = 0.00 μB/cell
! calculated volume = 227 Å³ per cell
&SYSTEM
  ibrav = 0, nat = 10, ntyp = 3
/
ATOMIC_SPECIES
Na 22.99 Na.upf
Zn 65.41 Zn.upf
Ag 107.87 Ag.upf
ATOMIC_POSITIONS crystal
Na 0.1778 0.6778 0.5000
Na 0.6778 0.8222 0.5000
Na 0.8222 0.3222 0.5000
Na 0.3222 0.1778 0.5000
Zn 0.3681 0.8681 0.0000
Zn 0.8681 0.6319 0.0000
Zn 0.6319 0.1319 0.0000
Zn 0.1319 0.3681 0.0000
Ag 0.0000 0.0000 0.0000
Ag 0.5000 0.5000 0.0000
CELL_PARAMETERS angstrom
6.8297 0.0000 0.0000
0.0000 6.8297 0.0000
0.0000 0.0000 4.8633

---

2) ! Na2Zn2Ag PBE optimized geometry; values from VASP
! total magnetic moment = 0.00 μB/cell
! calculated volume = 113 Å³ per cell
&SYSTEM
  ibrav = 0, nat = 5, ntyp = 3
/
ATOMIC_SPECIES
Na 22.99 Na.upf
Zn 65.41 Zn.upf
Ag 107.87 Ag.upf
ATOMIC_POSITIONS crystal
Na 0.7500 0.2500 0.5000
Na 0.2500 0.7500 0.5000
Zn 0.4118 0.4118 0.1763
Zn 0.5882 0.5882 0.8237
Ag 0.0000 0.0000 0.0000
CELL_PARAMETERS angstrom
-0.8940 -1.3065 -3.7171
-2.3340 -2.8953 1.5790
-7.0447 2.1705 -1.2642

---

Sorted by energy, starting with the most stable: 1), 2).